The following is a SCAN calculation of Zn2TeAu2 at its PBEsol-relaxed geometry, from Alexandria.

The calculation puts the uncorrected formation energy at -0.17 eV/atom. As for the space group: No. 139.

Unit cell a=3.8114 b=3.8114 c=6.9296 alpha=105.96 beta=105.96 gamma=90.00
Sites, in units of the cell vectors:
Au  0.3892  0.3892  0.7784
Zn  0.7500  0.2500  0.5000
Au  0.6108  0.6108  0.2216
Zn  0.2500  0.7500  0.5000
Te  0.0000  0.0000  0.0000

***

The following is a SCAN calculation of Zn4TeAu at its PBEsol-relaxed geometry, from Alexandria.

The calculation puts the uncorrected formation energy at 0.19 eV/atom. As for the space group: No. 216.

Unit cell a=5.2312 b=5.2312 c=5.2312 alpha=60.00 beta=60.00 gamma=60.00
Sites, in units of the cell vectors:
Zn  0.3755  0.3755  0.8736
Zn  0.8736  0.3755  0.3755
Te  0.0000  0.0000  0.0000
Zn  0.3755  0.8736  0.3755
Zn  0.3755  0.3755  0.3755
Au  0.7500  0.7500  0.7500